The following is a PBE calculation of an optimized crystal structure of CaFe2P, from the Alexandria database.

The calculation puts the energy of formation at 205 meV per atom. The calculation puts the uncorrected energy at -23.52 eV per cell.

The space group is P4/mmm (No. 123) and the conventional cell measures 3.9073, 3.9073 and 4.1669 Å, with angles of 90.00, 90.00 and 90.00 degrees. Symmetry generates all atoms from Ca at (0.0000, 0.0000, 0.0000), Fe at (0.0000, 0.5000, 0.5000) and P at (0.5000, 0.5000, 0.0000).